Material: Tb4ThAs5
Method: DFT, PBE-GGA
State: relaxed

a = 4.170 Å, b = 5.894 Å, c = 20.802 Å
α = 90.00°, β = 90.00°, γ = 90.00°
Space group Immm (No. 71)
Asymmetric unit:
Tb (0.000, 0.000, 0.102) (multiplicity 4)
Tb (0.000, 0.000, 0.298) (multiplicity 4)
Th (0.000, 0.000, 0.500) (multiplicity 2)
As (0.000, 0.500, 0.102) (multiplicity 4)
As (0.000, 0.500, 0.300) (multiplicity 4)
As (0.000, 0.500, 0.500) (multiplicity 2)

Properties
energy of formation from the pure elements = -1.522 eV/atom
density = 8.07 g/cm3
D(E_F) = 3.00 states/eV/f.u.
M_tot = 0.000 μB/cell